This record from the Alexandria database describes an optimized crystal structure of Co3RhO. The functional is PBE with a Hubbard U.

Properties
- Offset from the most stable computed form: 0.000 eV/atom

Cell and atoms, written as CIF:
```
data_Co3RhO
_chemical_formula_sum 'Co3 Rh1 O1'
_symmetry_space_group_name_H-M 'P m -3 m'
_symmetry_Int_Tables_number 221
_symmetry_space_group_name_Hall '-P 4 2 3'
_cell_length_a 3.8864
_cell_length_b 3.8864
_cell_length_c 3.8864
_cell_angle_alpha 90.00
_cell_angle_beta 90.00
_cell_angle_gamma 90.00
loop_
_atom_site_label
_atom_site_type_symbol
_atom_site_fract_x
_atom_site_fract_y
_atom_site_fract_z
Co1 Co 0.0000 0.0000 0.5000
Rh1 Rh 0.5000 0.5000 0.5000
O1 O 0.0000 0.0000 0.0000
```